YNi2Pt: relaxed, GGA-PBE.

Properties
calculated formation energy	-0.326	eV per atom
SG	No. 216
M_tot	0.34	Bohr magnetons per cell

a = 4.4971 Å, b = 4.4971 Å, c = 4.4971 Å
α = 60.00°, β = 60.00°, γ = 60.00°
With the nearest neighbours (Å) after each atom.
Fractional coordinates of all 4 atoms:
Y 0.0000 0.0000 0.0000  4 Ni 2.75, 4 Pt 2.75
Ni 0.5000 0.5000 0.5000  4 Ni 2.75, 4 Pt 2.75
Ni 0.7500 0.7500 0.7500  4 Ni 2.75, 4 Y 2.75
Pt 0.2500 0.2500 0.2500  4 Ni 2.75, 4 Y 2.75


HfAlNi: relaxed, GGA-PBE.

Properties
DFT total energy	-6.48	eV/atom
SG	No. 194
M_tot	0.03	Bohr magnetons per cell

a = 4.5502 Å, b = 4.5502 Å, c = 5.3852 Å
α = 90.00°, β = 90.00°, γ = 120.00°
With the nearest neighbours (Å) after each atom.
Fractional coordinates of all 6 atoms:
Hf 0.3333 0.6667 0.2500  5 Al 2.63-2.69
Hf 0.6667 0.3333 0.7500  5 Al 2.63-2.69
Al 0.3333 0.6667 0.7500  5 Hf 2.63-2.69
Al 0.6667 0.3333 0.2500  5 Hf 2.63-2.69
Ni 0.0000 0.0000 0.0000  2 Ni 2.69, 6 Hf 2.95, 6 Al 2.95
Ni 0.0000 0.0000 0.5000  2 Ni 2.69, 6 Hf 2.95, 6 Al 2.95


TbY2In3Ni3: relaxed, GGA-PBE.

Properties
DFT total energy	-5.23	eV/atom
SG	No. 38
M_tot	0.00	Bohr magnetons per cell

a = 3.7865 Å, b = 7.4707 Å, c = 7.4707 Å
α = 119.96°, β = 90.00°, γ = 90.00°
With the nearest neighbours (Å) after each atom.
Fractional coordinates of all 9 atoms:
Tb 0.0000 0.0000 0.0000  5 Ni 2.95-3.07, 6 In 3.14-3.28
Y 0.0000 0.4109 0.8217  5 Ni 2.95-3.07, 6 In 3.14-3.28
Y 0.0000 0.8217 0.4109  5 Ni 2.95-3.07, 6 In 3.14-3.28
In 0.5000 0.1567 0.4109  4 Ni 2.68-2.83
In 0.5000 0.4109 0.1567  4 Ni 2.68-2.83
In 0.5000 0.6649 0.6649  4 Ni 2.68-2.83
Ni 0.0000 0.4109 0.4109  6 In 2.68
Ni 0.5000 0.0775 0.7443  3 In 2.83, 2 Tb 2.95, 4 Y 2.95
Ni 0.5000 0.7443 0.0775  3 In 2.83, 2 Tb 2.95, 4 Y 2.95


CsAsW: relaxed, GGA-PBE.

Properties
DFT total energy	-3.61	eV/atom
SG	No. 216
M_tot	3.99	Bohr magnetons per cell

a = 5.3065 Å, b = 5.3065 Å, c = 5.3065 Å
α = 60.00°, β = 60.00°, γ = 60.00°
With the nearest neighbours (Å) after each atom.
Fractional coordinates of all 3 atoms:
Cs 0.0000 0.0000 0.0000  4 As 3.25, 4 W 3.25
As 0.7500 0.7500 0.7500  4 Cs 3.25
W 0.2500 0.2500 0.2500  4 Cs 3.25


BeNi2Bi: relaxed, GGA-PBE.

Properties
DFT total energy	-4.39	eV/atom
SG	No. 216
M_tot	0.01	Bohr magnetons per cell

a = 4.2989 Å, b = 4.2989 Å, c = 4.2989 Å
α = 60.00°, β = 60.00°, γ = 60.00°
With the nearest neighbours (Å) after each atom.
Fractional coordinates of all 4 atoms:
Be 0.0000 0.0000 0.0000  4 Bi 2.63, 4 Ni 2.63
Ni 0.5000 0.5000 0.5000  4 Bi 2.63, 4 Ni 2.63
Ni 0.7500 0.7500 0.7500  4 Ni 2.63, 4 Be 2.63
Bi 0.2500 0.2500 0.2500  4 Ni 2.63, 4 Be 2.63


HfGaFeMo: relaxed, GGA-PBE.

Properties
SG	No. 216
energy relative to the lowest polymorph listed for this composition	0	meV/atom
M_tot	2.83	Bohr magnetons per cell

a = 4.4476 Å, b = 4.4476 Å, c = 4.4476 Å
α = 60.00°, β = 60.00°, γ = 60.00°
With the nearest neighbours (Å) after each atom.
Fractional coordinates of all 4 atoms:
Hf 0.0000 0.0000 0.0000  4 Fe 2.72, 4 Mo 2.72
Ga 0.5000 0.5000 0.5000  4 Fe 2.72, 4 Mo 2.72
Fe 0.7500 0.7500 0.7500  4 Ga 2.72, 4 Hf 2.72
Mo 0.2500 0.2500 0.2500  4 Ga 2.72, 4 Hf 2.72


ThBPt: relaxed, GGA-PBE.

Properties
SG	No. 216
energy relative to the lowest polymorph listed for this composition	0	meV/atom
M_tot	0.00	Bohr magnetons per cell

a = 4.3321 Å, b = 4.3321 Å, c = 4.3321 Å
α = 60.00°, β = 60.00°, γ = 60.00°
With the nearest neighbours (Å) after each atom.
Fractional coordinates of all 3 atoms:
Th 0.0000 0.0000 0.0000  4 B 2.65
B 0.7500 0.7500 0.7500  4 Pt 2.65, 4 Th 2.65
Pt 0.5000 0.5000 0.5000  4 B 2.65


BeCu2Pb: relaxed, GGA-PBE.

Properties
SG	No. 216
energy relative to the lowest polymorph listed for this composition	207	meV/atom

a = 4.4003 Å, b = 4.4003 Å, c = 4.4003 Å
α = 60.00°, β = 60.00°, γ = 60.00°
With the nearest neighbours (Å) after each atom.
Fractional coordinates of all 4 atoms:
Be 0.0000 0.0000 0.0000  4 Pb 2.69, 4 Cu 2.69
Cu 0.2500 0.2500 0.2500  4 Be 2.69, 4 Cu 2.69
Cu 0.5000 0.5000 0.5000  4 Pb 2.69, 4 Cu 2.69
Pb 0.7500 0.7500 0.7500  4 Be 2.69, 4 Cu 2.69


LuInFeHg: relaxed, GGA-PBE.

Properties
SG	No. 216
energy relative to the lowest polymorph listed for this composition	0	meV/atom
M_tot	2.57	Bohr magnetons per cell

a = 4.8735 Å, b = 4.8735 Å, c = 4.8735 Å
α = 60.00°, β = 60.00°, γ = 60.00°
With the nearest neighbours (Å) after each atom.
Fractional coordinates of all 4 atoms:
Lu 0.0000 0.0000 0.0000  4 Hg 2.98, 4 In 2.98
In 0.2500 0.2500 0.2500  4 Fe 2.98, 4 Lu 2.98
Fe 0.5000 0.5000 0.5000  4 Hg 2.98, 4 In 2.98
Hg 0.7500 0.7500 0.7500  4 Fe 2.98, 4 Lu 2.98


DySeCl: relaxed, GGA-PBE.

Properties
DFT total energy	-5.34	eV/atom
SG	No. 14
M_tot	0.00	Bohr magnetons per cell

a = 6.7597 Å, b = 6.8727 Å, c = 7.0579 Å
α = 90.00°, β = 100.95°, γ = 90.00°
With the nearest neighbours (Å) after each atom.
Fractional coordinates of all 12 atoms:
Dy 0.1981 0.0529 0.2975  3 Cl 2.82-2.85, 4 Se 2.85-2.87
Dy 0.1981 0.4471 0.7975  3 Cl 2.82-2.85, 4 Se 2.85-2.87
Dy 0.8019 0.5529 0.2025  3 Cl 2.82-2.85, 4 Se 2.85-2.87
Dy 0.8019 0.9471 0.7025  3 Cl 2.82-2.85, 4 Se 2.85-2.87
Se 0.0728 0.7401 0.5117  4 Dy 2.85-2.87
Se 0.0728 0.7599 0.0117  4 Dy 2.85-2.87
Se 0.9272 0.2401 0.9883  4 Dy 2.85-2.87
Se 0.9272 0.2599 0.4883  4 Dy 2.85-2.87
Cl 0.4367 0.1648 0.6583  3 Dy 2.82-2.85
Cl 0.4367 0.3352 0.1583  3 Dy 2.82-2.85
Cl 0.5633 0.6648 0.8417  3 Dy 2.82-2.85
Cl 0.5633 0.8352 0.3417  3 Dy 2.82-2.85


TlPtNO: relaxed, GGA-PBE.

Properties
SG	No. 129
energy relative to the lowest polymorph listed for this composition	131	meV/atom
M_tot	0.00	Bohr magnetons per cell

a = 4.1599 Å, b = 4.1599 Å, c = 7.3136 Å
α = 90.00°, β = 90.00°, γ = 90.00°
With the nearest neighbours (Å) after each atom.
Fractional coordinates of all 8 atoms:
Tl 0.2500 0.2500 0.1370  1 N 2.28, 4 O 2.31
Tl 0.7500 0.7500 0.8630  1 N 2.28, 4 O 2.31
Pt 0.2500 0.7500 0.5000  4 N 2.11
Pt 0.7500 0.2500 0.5000  4 N 2.11
N 0.2500 0.2500 0.4490  4 Pt 2.11, 1 Tl 2.28
N 0.7500 0.7500 0.5510  4 Pt 2.11, 1 Tl 2.28
O 0.2500 0.7500 0.0000  4 Tl 2.31
O 0.7500 0.2500 0.0000  4 Tl 2.31


NpAlB: relaxed, GGA-PBE.

Properties
SG	No. 216
energy relative to the lowest polymorph listed for this composition	819	meV/atom
M_tot	4.42	Bohr magnetons per cell

a = 4.2478 Å, b = 4.2478 Å, c = 4.2478 Å
α = 60.00°, β = 60.00°, γ = 60.00°
With the nearest neighbours (Å) after each atom.
Fractional coordinates of all 3 atoms:
Np 0.0000 0.0000 0.0000  4 Al 2.60
Al 0.7500 0.7500 0.7500  4 B 2.60, 4 Np 2.60
B 0.5000 0.5000 0.5000  4 Al 2.60


no.,density (g/cm3)
1,10.363
2,9.086
3,7.775
4,6.155
5,9.914
6,10.677
7,12.649
8,9.462
9,11.082
10,5.713
11,11.270
12,8.419